# Er4ZrAu5

Er4ZrAu5 after structural relaxation (PBE, Alexandria).

DFT formation energy	-759.2	kJ/mol of formula units

Structure (CIF):
```
data_Er4ZrAu5
_cell_length_a 3.524
_cell_length_b 3.524
_cell_length_c 17.879
_cell_angle_alpha 90.00
_cell_angle_beta 90.00
_cell_angle_gamma 90.00
_symmetry_space_group_name_H-M 'P 1'
_symmetry_Int_Tables_number 1
loop_
_symmetry_equiv_pos_as_xyz
'x,y,z'
loop_
_atom_site_label
_atom_site_type_symbol
_atom_site_fract_x
_atom_site_fract_y
_atom_site_fract_z
_atom_site_occupancy
Er1 Er 0.000 0.000 0.102 1
Er2 Er 0.000 0.000 0.304 1
Er3 Er 0.000 0.000 0.696 1
Er4 Er 0.000 0.000 0.898 1
Zr1 Zr 0.000 0.000 0.500 1
Au1 Au 0.500 0.500 0.000 1
Au2 Au 0.500 0.500 0.203 1
Au3 Au 0.500 0.500 0.406 1
Au4 Au 0.500 0.500 0.594 1
Au5 Au 0.500 0.500 0.797 1
```

# KLiSi2

KLiSi2 after structural relaxation (PBE, Alexandria).

raw formation energy	401	meV per atom
energy above the most stable polymorph in this dataset	0.388	eV/atom

Structure (CIF):
```
data_KLiSi2
_cell_length_a 2.910
_cell_length_b 5.071
_cell_length_c 10.596
_cell_angle_alpha 90.00
_cell_angle_beta 90.00
_cell_angle_gamma 90.00
_symmetry_space_group_name_H-M 'P 1'
_symmetry_Int_Tables_number 1
loop_
_symmetry_equiv_pos_as_xyz
'x,y,z'
loop_
_atom_site_label
_atom_site_type_symbol
_atom_site_fract_x
_atom_site_fract_y
_atom_site_fract_z
_atom_site_occupancy
K1 K 0.000 0.000 0.000 1
K2 K 0.500 0.500 0.500 1
Li1 Li 0.000 0.000 0.500 1
Li2 Li 0.500 0.500 0.000 1
Si1 Si 0.000 0.500 0.217 1
Si2 Si 0.000 0.500 0.783 1
Si3 Si 0.500 0.000 0.283 1
Si4 Si 0.500 0.000 0.717 1
```

# MgZr2C2

MgZr2C2 after structural relaxation (PBE, Alexandria).

DFT formation energy	-13.8	kJ/mol of formula units
energy above the most stable polymorph in this dataset	0.157	eV/atom

Structure (CIF):
```
data_MgZr2C2
_cell_length_a 4.459
_cell_length_b 4.459
_cell_length_c 10.379
_cell_angle_alpha 90.00
_cell_angle_beta 90.00
_cell_angle_gamma 90.00
_symmetry_space_group_name_H-M 'P 1'
_symmetry_Int_Tables_number 1
loop_
_symmetry_equiv_pos_as_xyz
'x,y,z'
loop_
_atom_site_label
_atom_site_type_symbol
_atom_site_fract_x
_atom_site_fract_y
_atom_site_fract_z
_atom_site_occupancy
Mg1 Mg 0.000 0.000 0.000 1
Mg2 Mg 0.500 0.500 0.500 1
Zr1 Zr 0.000 0.500 0.250 1
Zr2 Zr 0.000 0.500 0.750 1
Zr3 Zr 0.500 0.000 0.250 1
Zr4 Zr 0.500 0.000 0.750 1
C1 C 0.000 0.000 0.204 1
C2 C 0.000 0.000 0.796 1
C3 C 0.500 0.500 0.296 1
C4 C 0.500 0.500 0.704 1
```

# RbLiIn5

RbLiIn5 after structural relaxation (PBE, Alexandria).

DFT formation energy	-73.3	kJ/mol of formula units

Structure (CIF):
```
data_RbLiIn5
_cell_length_a 4.425
_cell_length_b 4.425
_cell_length_c 11.084
_cell_angle_alpha 90.00
_cell_angle_beta 90.00
_cell_angle_gamma 90.00
_symmetry_space_group_name_H-M 'P 1'
_symmetry_Int_Tables_number 1
loop_
_symmetry_equiv_pos_as_xyz
'x,y,z'
loop_
_atom_site_label
_atom_site_type_symbol
_atom_site_fract_x
_atom_site_fract_y
_atom_site_fract_z
_atom_site_occupancy
Rb1 Rb 0.000 0.000 0.000 1
Li1 Li 0.000 0.000 0.500 1
In1 In 0.000 0.500 0.287 1
In2 In 0.000 0.500 0.713 1
In3 In 0.500 0.000 0.287 1
In4 In 0.500 0.000 0.713 1
In5 In 0.500 0.500 0.500 1
```

# HfScAlIn

HfScAlIn after structural relaxation (PBE, Alexandria).

DFT formation energy	-136.5	kJ/mol of formula units
energy above the most stable polymorph in this dataset	0.000	eV/atom

Structure (CIF):
```
data_HfScAlIn
_cell_length_a 3.053
_cell_length_b 3.053
_cell_length_c 8.794
_cell_angle_alpha 90.00
_cell_angle_beta 90.00
_cell_angle_gamma 90.00
_symmetry_space_group_name_H-M 'P 1'
_symmetry_Int_Tables_number 1
loop_
_symmetry_equiv_pos_as_xyz
'x,y,z'
loop_
_atom_site_label
_atom_site_type_symbol
_atom_site_fract_x
_atom_site_fract_y
_atom_site_fract_z
_atom_site_occupancy
Hf1 Hf 0.000 0.000 0.000 1
Sc1 Sc 0.000 0.000 0.460 1
Al1 Al 0.500 0.500 0.227 1
In1 In 0.500 0.500 0.731 1
```

# InCu6Pd12

InCu6Pd12 after structural relaxation (PBE, Alexandria).

DFT formation energy	50.0	kJ/mol of formula units
energy above the most stable polymorph in this dataset	0.175	eV/atom

Structure (CIF):
```
data_InCu6Pd12
_cell_length_a 6.865
_cell_length_b 6.865
_cell_length_c 6.865
_cell_angle_alpha 103.02
_cell_angle_beta 103.02
_cell_angle_gamma 103.02
_symmetry_space_group_name_H-M 'P 1'
_symmetry_Int_Tables_number 1
loop_
_symmetry_equiv_pos_as_xyz
'x,y,z'
loop_
_atom_site_label
_atom_site_type_symbol
_atom_site_fract_x
_atom_site_fract_y
_atom_site_fract_z
_atom_site_occupancy
In1 In 0.000 0.000 0.000 1
Cu1 Cu 0.170 0.170 0.424 1
Cu2 Cu 0.170 0.424 0.170 1
Cu3 Cu 0.424 0.170 0.170 1
Cu4 Cu 0.576 0.830 0.830 1
Cu5 Cu 0.830 0.576 0.830 1
Cu6 Cu 0.830 0.830 0.576 1
Pd1 Pd 0.000 0.262 0.738 1
Pd2 Pd 0.000 0.738 0.262 1
Pd3 Pd 0.193 0.578 0.578 1
Pd4 Pd 0.262 0.000 0.738 1
Pd5 Pd 0.262 0.738 0.000 1
Pd6 Pd 0.422 0.422 0.807 1
Pd7 Pd 0.422 0.807 0.422 1
Pd8 Pd 0.578 0.193 0.578 1
Pd9 Pd 0.578 0.578 0.193 1
Pd10 Pd 0.738 0.000 0.262 1
Pd11 Pd 0.738 0.262 0.000 1
Pd12 Pd 0.807 0.422 0.422 1
```

# FeIr2Os4Ru

FeIr2Os4Ru after structural relaxation (PBE, Alexandria).

DFT formation energy	709.4	kJ/mol of formula units

Structure (CIF):
```
data_FeIr2Os4Ru
_cell_length_a 7.351
_cell_length_b 7.351
_cell_length_c 7.351
_cell_angle_alpha 138.07
_cell_angle_beta 102.34
_cell_angle_gamma 92.42
_symmetry_space_group_name_H-M 'P 1'
_symmetry_Int_Tables_number 1
loop_
_symmetry_equiv_pos_as_xyz
'x,y,z'
loop_
_atom_site_label
_atom_site_type_symbol
_atom_site_fract_x
_atom_site_fract_y
_atom_site_fract_z
_atom_site_occupancy
Fe1 Fe 0.500 0.000 0.000 1
Fe2 Fe 0.500 0.500 0.500 1
Ir1 Ir 0.000 0.000 0.000 1
Ir2 Ir 0.000 0.000 0.500 1
Ir3 Ir 0.000 0.500 0.000 1
Ir4 Ir 0.500 0.000 0.500 1
Os1 Os 0.245 0.741 0.504 1
Os2 Os 0.257 0.256 0.500 1
Os3 Os 0.257 0.757 0.000 1
Os4 Os 0.263 0.259 0.004 1
Os5 Os 0.737 0.741 0.996 1
Os6 Os 0.743 0.243 0.000 1
Os7 Os 0.743 0.744 0.500 1
Os8 Os 0.755 0.259 0.496 1
Ru1 Ru 0.000 0.500 0.500 1
Ru2 Ru 0.500 0.500 0.000 1
```

# TbHoAgPd

TbHoAgPd after structural relaxation (PBE, Alexandria).

DFT formation energy	-231.5	kJ/mol of formula units
energy above the most stable polymorph in this dataset	0.000	eV/atom

Structure (CIF):
```
data_TbHoAgPd
_cell_length_a 3.561
_cell_length_b 3.561
_cell_length_c 7.204
_cell_angle_alpha 90.00
_cell_angle_beta 90.00
_cell_angle_gamma 90.00
_symmetry_space_group_name_H-M 'P 1'
_symmetry_Int_Tables_number 1
loop_
_symmetry_equiv_pos_as_xyz
'x,y,z'
loop_
_atom_site_label
_atom_site_type_symbol
_atom_site_fract_x
_atom_site_fract_y
_atom_site_fract_z
_atom_site_occupancy
Tb1 Tb 0.000 0.000 0.000 1
Ho1 Ho 0.000 0.000 0.479 1
Ag1 Ag 0.500 0.500 0.735 1
Pd1 Pd 0.500 0.500 0.244 1
```

| no. | electronic total energy (eV per cell) | total magnetic moment (μB per cell) | mass density (g/cm3) |
| --- | --- | --- | --- |
| 1 | -51.05 | 0.80 | 13.05 |
| 2 | -24.51 | 0.00 | 2.17 |
| 3 | -74.56 | 0.00 | 3.71 |
| 4 | -17.33 | 0.00 | 5.10 |
| 5 | -24.18 | 0.33 | 7.40 |
| 6 | -89.11 | 0.00 | 10.02 |
| 7 | -146.05 | 4.74 | 17.54 |
| 8 | -19.65 | 0.00 | 9.78 |